No. 1
# LaSmAsI

LaSmAsI after structural relaxation (PBE, Alexandria).

## Properties
Electronic total energy, eV per atom: -5.301
Space-group type: R3m, No. 160
N(E_F), states/eV/atom: 0.364
V, Å³ per cell: 123.6
Uncorrected formation energy, meV per atom: -1340
Crystal system: trigonal

a b c (Å): 4.268 4.270 8.214
angles (deg): 90.00 105.05 120.01
Fractional positions:
I: 0.962 0.379 0.356
As: 0.311 0.554 0.880
La: 0.501 0.149 0.665
Sm: 0.104 0.950 0.068



No. 2
# Pm6Nd2DyEr

Pm6Nd2DyEr after structural relaxation (PBE, Alexandria).

## Properties
Electronic total energy, eV per atom: -4.606
Space-group type: C2/c, No. 15
N(E_F), states/eV/atom: 1.434
V, Å³ per cell: 683.9
E_form, eV per atom: 0.115
Crystal system: monoclinic

a b c (Å): 9.811 8.941 8.941
angles (deg): 118.17 94.35 94.35
Fractional positions:
Pm: 0.311 0.984 0.426
Pm: 0.119 0.708 0.498
Pm: 0.056 0.123 0.752
Pm: 0.556 0.752 0.123
Pm: 0.189 0.574 0.016
Pm: 0.944 0.877 0.248
Pm: 0.689 0.016 0.574
Pm: 0.811 0.426 0.984
Pm: 0.444 0.248 0.877
Pm: 0.619 0.498 0.708
Pm: 0.381 0.502 0.292
Pm: 0.881 0.292 0.502
Nd: 0.042 0.297 0.196
Nd: 0.958 0.703 0.804
Nd: 0.542 0.196 0.297
Nd: 0.458 0.804 0.703
Dy: 0.750 0.020 0.980
Dy: 0.250 0.980 0.020
Er: 0.750 0.592 0.408
Er: 0.250 0.408 0.592



No. 3
# LiInPb

LiInPb after structural relaxation (PBE, Alexandria).

## Properties
Electronic total energy, eV per atom: -2.937
Space-group type: Cmcm, No. 63
N(E_F), states/eV/atom: 0.426
V, Å³ per cell: 150.2
E_form, eV per atom: -0.150
Crystal system: orthorhombic

a b c (Å): 7.708 7.708 4.624
angles (deg): 90.00 90.00 146.85
Fractional positions:
Pb: 0.077 0.923 0.750
Pb: 0.923 0.077 0.250
In: 0.748 0.252 0.750
In: 0.252 0.748 0.250
Li: 0.412 0.588 0.750
Li: 0.588 0.412 0.250